## Cs3CaNp3S8 (PBE-GGA)

Data for crystalline Cs3CaNp3S8 at its relaxed geometry.

* space-group type: R-3m

Cell and atoms, written as POSCAR:
```
Cs3CaNp3S8
1.0
4.089 2.361 8.112
-4.089 2.361 8.112
0.000 -4.721 8.112
Cs Ca Np S
3 1 3 8
direct
0.000 0.500 0.500
0.500 0.000 0.500
0.500 0.500 0.000
0.500 0.500 0.500
0.000 0.000 0.500
0.000 0.500 0.000
0.500 0.000 0.000
0.210 0.733 0.733
0.226 0.226 0.226
0.267 0.267 0.790
0.267 0.790 0.267
0.733 0.210 0.733
0.733 0.733 0.210
0.774 0.774 0.774
0.790 0.267 0.267
```



## Cs3CaNp3Se8 (PBE-GGA)

Data for crystalline Cs3CaNp3Se8 at its relaxed geometry.

* space-group type: R-3m

Cell and atoms, written as POSCAR:
```
Cs3CaNp3Se8
1.0
4.266 2.463 8.438
-4.266 2.463 8.438
0.000 -4.926 8.438
Cs Ca Np Se
3 1 3 8
direct
0.000 0.500 0.500
0.500 0.000 0.500
0.500 0.500 0.000
0.500 0.500 0.500
0.000 0.000 0.500
0.000 0.500 0.000
0.500 0.000 0.000
0.213 0.734 0.734
0.228 0.228 0.228
0.266 0.266 0.787
0.266 0.787 0.266
0.734 0.213 0.734
0.734 0.734 0.213
0.772 0.772 0.772
0.787 0.266 0.266
```



## Cs3Ca2NpSe6 (PBE-GGA)

Data for crystalline Cs3Ca2NpSe6 at its relaxed geometry.

* space-group type: C2/m

Cell and atoms, written as POSCAR:
```
Cs3Ca2NpSe6
1.0
3.758 -6.503 0.000
3.758 6.503 0.000
-2.492 0.000 8.322
Cs Ca Np Se
3 2 1 6
direct
0.000 0.000 0.000
0.327 0.673 0.000
0.673 0.327 0.000
0.166 0.834 0.500
0.834 0.166 0.500
0.500 0.500 0.500
0.128 0.439 0.316
0.253 0.253 0.687
0.439 0.128 0.316
0.561 0.872 0.684
0.747 0.747 0.313
0.872 0.561 0.684
```



## Cs3Ca2NpTe6 (PBE-GGA)

Data for crystalline Cs3Ca2NpTe6 at its relaxed geometry.

* space-group type: C2/m

Cell and atoms, written as POSCAR:
```
Cs3Ca2NpTe6
1.0
4.022 -6.959 0.000
4.022 6.959 0.000
-2.668 0.000 8.864
Cs Ca Np Te
3 2 1 6
direct
0.000 0.000 0.000
0.327 0.673 0.000
0.673 0.327 0.000
0.166 0.834 0.500
0.834 0.166 0.500
0.500 0.500 0.500
0.123 0.437 0.312
0.251 0.251 0.692
0.437 0.123 0.312
0.563 0.877 0.688
0.749 0.749 0.308
0.877 0.563 0.688
```



## Cs3CaNp2Te6 (PBE-GGA)

Data for crystalline Cs3CaNp2Te6 at its relaxed geometry.

* space-group type: C2/m

Cell and atoms, written as POSCAR:
```
Cs3CaNp2Te6
1.0
4.021 -6.964 0.000
4.021 6.964 0.000
-2.677 0.000 8.881
Cs Ca Np Te
3 1 2 6
direct
0.000 0.000 0.000
0.338 0.662 0.000
0.662 0.338 0.000
0.500 0.500 0.500
0.167 0.833 0.500
0.833 0.167 0.500
0.092 0.436 0.310
0.218 0.218 0.688
0.436 0.092 0.310
0.564 0.908 0.690
0.782 0.782 0.312
0.908 0.564 0.690
```



## CsCaO2 (PBE-GGA)

Data for crystalline CsCaO2 at its relaxed geometry.

* space-group type: Fm-3m

Cell and atoms, written as POSCAR:
```
CsCaO2
1.0
0.000 3.302 3.302
3.302 0.000 3.302
3.302 3.302 0.000
Cs Ca O
1 1 2
direct
0.000 0.000 0.000
0.500 0.500 0.500
0.250 0.250 0.250
0.750 0.750 0.750
```



## CsCaO2 (PBE-GGA)

Data for crystalline CsCaO2 at its relaxed geometry.

* space-group type: I-42d

Cell and atoms, written as POSCAR:
```
CsCaO2
1.0
-3.024 3.024 5.679
3.024 -3.024 5.679
3.024 3.024 -5.679
Cs Ca O
2 2 4
direct
0.000 0.000 0.000
0.750 0.250 0.500
0.250 0.750 0.500
0.500 0.500 0.000
0.229 0.625 0.104
0.375 0.479 0.604
0.521 0.125 0.896
0.875 0.771 0.396
```



## CsCaO2 (PBE-GGA)

Data for crystalline CsCaO2 at its relaxed geometry.

* space-group type: R-3m

Cell and atoms, written as POSCAR:
```
CsCaO2
1.0
2.307 1.332 7.514
-2.307 1.332 7.514
0.000 -2.663 7.514
Cs Ca O
1 1 2
direct
0.000 0.000 0.000
0.500 0.500 0.500
0.412 0.412 0.412
0.588 0.588 0.588
```



## Cs6CaO4 (PBE-GGA)

Data for crystalline Cs6CaO4 at its relaxed geometry.

* space-group type: P6_3mc

Cell and atoms, written as POSCAR:
```
Cs6CaO4
1.0
10.083 0.000 0.000
-5.042 8.732 0.000
0.000 0.000 7.165
Cs Ca O
12 2 8
direct
0.085 0.542 0.000
0.140 0.280 0.650
0.140 0.860 0.650
0.280 0.140 0.150
0.458 0.542 0.000
0.458 0.915 0.000
0.542 0.085 0.500
0.542 0.458 0.500
0.720 0.860 0.650
0.860 0.140 0.150
0.860 0.720 0.150
0.915 0.458 0.500
0.333 0.667 0.409
0.667 0.333 0.909
0.207 0.414 0.301
0.207 0.793 0.301
0.333 0.667 0.722
0.414 0.207 0.801
0.586 0.793 0.301
0.667 0.333 0.222
0.793 0.207 0.801
0.793 0.586 0.801
```



## CsCaO3 (PBE-GGA)

Data for crystalline CsCaO3 at its relaxed geometry.

* space-group type: Pm-3m

Cell and atoms, written as POSCAR:
```
CsCaO3
1.0
4.680 0.000 0.000
0.000 4.680 0.000
0.000 0.000 4.680
Cs Ca O
1 1 3
direct
0.000 0.000 0.000
0.500 0.500 0.500
0.000 0.500 0.500
0.500 0.000 0.500
0.500 0.500 0.000
```



## Cs3CaO (PBE-GGA)

Data for crystalline Cs3CaO at its relaxed geometry.

* space-group type: Pm-3m

Cell and atoms, written as POSCAR:
```
Cs3CaO
1.0
6.276 0.000 0.000
0.000 6.276 0.000
0.000 0.000 6.276
Cs Ca O
3 1 1
direct
0.000 0.000 0.500
0.000 0.500 0.000
0.500 0.000 0.000
0.500 0.500 0.500
0.000 0.000 0.000
```



## CsCaO2 (PBE-GGA)

Data for crystalline CsCaO2 at its relaxed geometry.

* space-group type: R-3m

Cell and atoms, written as POSCAR:
```
CsCaO2
1.0
1.866 1.078 7.268
-1.866 1.078 7.268
0.000 -2.155 7.268
Cs Ca O
1 1 2
direct
0.000 0.000 0.000
0.500 0.500 0.500
0.115 0.115 0.115
0.885 0.885 0.885
```



M_tot (μB/f.u.)
10.00, 10.00, 2.00, 2.00, 7.00, 1.00, 1.00, 1.00, 0.01, 3.00, 0.79, 1.01
Formation energy from raw total energies (kJ/mol of atoms)
-140.7, -128.1, -138.9, -108.9, -100.4, -107.7, -158.5, -102.2, -122.0, -103.7, -25.0, -149.7